[1]
DFT (PBE) results for a relaxed structure of NaH2Ru.

Output
size of the total moment: 0.15 μB per atom
energy relative to the lowest polymorph listed for this composition: 0.0 kJ per mole of atoms
space-group type: No. 122

Structure (POSCAR):
```
NaH2Ru
1.0
-3.759 0.776 3.354
-3.433 -0.477 -3.738
-3.761 -3.076 0.371
Ru H Na
2 4 2
direct
0.000 0.000 0.000
0.750 0.250 0.500
0.705 0.125 0.250
0.045 0.625 0.250
0.375 0.295 0.750
0.875 0.955 0.750
0.500 0.500 0.000
0.250 0.750 0.500
```


[2]
DFT (PBE) results for a relaxed structure of TbSb2Pd7.

Output
E_form (uncorrected): -0.3147 eV/atom
size of the total moment: 0.00 μB per atom
energy relative to the lowest polymorph listed for this composition: 26.6 kJ per mole of atoms
space-group type: No. 65

Structure (POSCAR):
```
TbSb2Pd7
1.0
4.552 0.000 0.000
0.000 7.501 -0.257
0.000 -3.539 6.618
Tb Sb Pd
1 2 7
direct
0.000 0.000 0.000
0.500 0.697 0.303
0.500 0.303 0.697
0.000 0.789 0.211
0.000 0.211 0.789
0.500 0.070 0.292
0.500 0.930 0.708
0.500 0.292 0.070
0.500 0.708 0.930
0.500 0.500 0.500
```


[3]
DFT (PBE) results for a relaxed structure of Ce2NdSb4.

Output
E_form (uncorrected): -0.7131 eV/atom
size of the total moment: 0.26 μB per atom
space-group type: No. 166

Structure (POSCAR):
```
Ce2NdSb4
1.0
4.503 0.000 0.000
2.251 3.899 0.000
2.251 1.300 13.043
Ce Nd Sb
2 1 4
direct
0.599 0.599 0.202
0.401 0.401 0.798
0.500 0.500 0.500
0.688 0.688 0.937
0.883 0.883 0.350
0.312 0.312 0.063
0.117 0.117 0.650
```


[4]
DFT (PBE) results for a relaxed structure of CdHIrPt2.

Output
size of the total moment: 0.00 μB per atom
space-group type: No. 123

Structure (POSCAR):
```
CdHIrPt2
1.0
4.113 0.000 0.000
0.000 4.113 0.000
0.000 0.000 4.004
H Ir Pt Cd
1 1 2 1
direct
0.000 0.000 0.000
0.000 0.000 0.500
0.000 0.500 0.000
0.500 0.000 0.000
0.500 0.500 0.500
```


[5]
DFT (PBE) results for a relaxed structure of PrAl3IrRh.

Output
size of the total moment: 0.00 μB per atom
ΔH_f (0 K): -0.58 eV per atom
space-group type: No. 63

Structure (POSCAR):
```
PrAl3IrRh
1.0
-1.506 -1.259 -5.532
0.078 -7.595 1.708
-5.323 4.054 0.526
Pr Al Ir Rh
2 6 2 2
direct
0.750 0.268 0.536
0.250 0.732 0.464
0.250 0.233 0.466
0.000 0.251 0.000
0.500 0.749 0.000
0.500 0.251 0.000
0.000 0.749 0.000
0.750 0.767 0.534
0.250 0.445 0.891
0.750 0.555 0.109
0.250 0.026 0.053
0.750 0.974 0.947
```


[6]
DFT (PBE) results for a relaxed structure of La2Hf2Pt.

Output
size of the total moment: 0.00 μB per atom
ΔH_f (0 K): -0.26 eV per atom
space-group type: No. 127

Structure (POSCAR):
```
La2Hf2Pt
1.0
-5.254 -4.033 2.398
-0.418 -3.183 -6.270
3.587 -3.698 1.638
Hf Pt La
4 2 4
direct
0.348 0.848 0.000
0.848 0.652 0.000
0.652 0.152 0.000
0.152 0.348 0.000
0.000 0.000 0.000
0.500 0.500 0.000
0.166 0.666 0.500
0.666 0.834 0.500
0.834 0.334 0.500
0.334 0.166 0.500
```


[7]
DFT (PBE) results for a relaxed structure of NaZrFe2.

Output
size of the total moment: 0.91 μB per atom
energy relative to the lowest polymorph listed for this composition: 0.0 kJ per mole of atoms
ΔH_f (0 K): 0.63 eV per atom
space-group type: No. 225

Structure (POSCAR):
```
NaZrFe2
1.0
0.000 3.245 3.245
3.245 0.000 3.245
3.245 3.245 0.000
Na Fe Zr
1 2 1
direct
0.000 0.000 0.000
0.250 0.250 0.250
0.750 0.750 0.750
0.500 0.500 0.500
```


[8]
DFT (PBE) results for a relaxed structure of Ca2IrPb.

Output
size of the total moment: 0.00 μB per atom
ΔH_f (0 K): -0.27 eV per atom
space-group type: No. 44

Structure (POSCAR):
```
Ca2IrPb
1.0
-0.486 6.912 0.152
-5.603 3.886 1.238
4.569 -4.868 1.859
Pb Ca Ir
1 2 1
direct
0.315 0.815 0.500
0.996 0.996 0.000
0.693 0.193 0.500
0.496 0.496 0.000
```


[9]
DFT (PBE) results for a relaxed structure of Nb3GaH.

Output
size of the total moment: 0.00 μB per atom
space-group type: No. 2

Structure (POSCAR):
```
Nb3GaH
1.0
2.901 -0.018 0.200
-1.529 7.295 0.361
0.658 -2.330 6.907
Nb Ga H
6 2 2
direct
0.356 0.208 0.597
0.614 0.313 0.990
0.144 0.049 0.201
0.644 0.792 0.403
0.856 0.951 0.799
0.386 0.687 0.010
0.030 0.599 0.664
0.970 0.401 0.336
0.236 0.405 0.855
0.764 0.595 0.145
```


[10]
DFT (PBE) results for a relaxed structure of Li2Cd4Ag5.

Output
size of the total moment: 0.00 μB per atom
energy relative to the lowest polymorph listed for this composition: 2.7 kJ per mole of atoms
ΔH_f (0 K): -0.05 eV per atom
space-group type: No. 2

Structure (POSCAR):
```
Li2Cd4Ag5
1.0
3.852 0.011 -1.088
-0.086 7.080 -0.366
0.284 0.255 8.197
Li Cd Ag
2 4 5
direct
0.418 0.382 0.837
0.582 0.618 0.163
0.255 0.166 0.506
0.947 0.708 0.894
0.745 0.834 0.494
0.053 0.292 0.106
0.806 0.452 0.614
0.194 0.548 0.386
0.886 0.099 0.769
0.500 0.000 0.000
0.114 0.901 0.231
```


[11]
DFT (PBE) results for a relaxed structure of Ac2YIn.

Output
size of the total moment: 0.00 μB per atom
energy relative to the lowest polymorph listed for this composition: 0.0 kJ per mole of atoms
ΔH_f (0 K): -0.19 eV per atom
space-group type: No. 11

Structure (POSCAR):
```
Ac2YIn
1.0
-2.785 -4.736 -0.754
4.825 -3.471 3.979
-5.152 2.243 4.944
Ac Y In
4 2 2
direct
0.250 0.840 0.584
0.750 0.160 0.416
0.250 0.844 0.084
0.750 0.156 0.916
0.250 0.393 0.726
0.750 0.607 0.274
0.250 0.376 0.219
0.750 0.624 0.781
```


[12]
DFT (PBE) results for a relaxed structure of Tl2GeBi.

Output
size of the total moment: 0.00 μB per atom
energy relative to the lowest polymorph listed for this composition: 6.5 kJ per mole of atoms
ΔH_f (0 K): 0.31 eV per atom
space-group type: No. 122

Structure (POSCAR):
```
Tl2GeBi
1.0
-0.397 -6.687 -0.814
3.458 -0.902 5.724
-4.006 -3.872 5.788
Tl Ge Bi
4 2 2
direct
0.588 0.125 0.250
0.162 0.625 0.250
0.375 0.412 0.750
0.875 0.838 0.750
0.500 0.500 0.000
0.250 0.750 0.500
0.000 0.000 0.000
0.750 0.250 0.500
```


[13]
DFT (PBE) results for a relaxed structure of Np2ZnGa12.

Output
size of the total moment: 0.57 μB per atom
ΔH_f (0 K): -0.07 eV per atom
space-group type: No. 125

Structure (POSCAR):
```
Np2ZnGa12
1.0
6.187 0.000 0.000
0.000 6.187 0.000
0.000 0.000 15.132
Np Zn Ga
4 2 24
direct
0.500 0.000 0.242
0.000 0.500 0.242
0.000 0.500 0.758
0.500 0.000 0.758
0.500 0.000 0.000
0.000 0.500 0.000
0.500 0.500 0.815
0.000 0.000 0.815
0.750 0.750 0.909
0.250 0.750 0.909
0.000 0.000 0.344
0.250 0.750 0.091
0.830 0.330 0.572
0.500 0.500 0.344
0.250 0.250 0.909
0.750 0.750 0.091
0.330 0.170 0.572
0.670 0.170 0.428
0.000 0.000 0.656
0.170 0.330 0.428
0.250 0.250 0.091
0.830 0.670 0.428
0.670 0.830 0.572
0.000 0.000 0.185
0.170 0.670 0.572
0.500 0.500 0.656
0.750 0.250 0.909
0.500 0.500 0.185
0.330 0.830 0.428
0.750 0.250 0.091
```


[14]
DFT (PBE) results for a relaxed structure of TeRhW2.

Output
E_form (uncorrected): 0.5000 eV/atom
size of the total moment: 0.00 μB per atom
space-group type: No. 71

Structure (POSCAR):
```
TeRhW2
1.0
-1.635 2.238 4.643
1.635 -2.238 4.643
1.635 2.238 -4.643
Te Rh W
1 1 2
direct
0.500 0.000 0.500
0.000 0.500 0.500
0.735 0.735 0.000
0.265 0.265 0.000
```


[15]
DFT (PBE) results for a relaxed structure of SmDyRu4.

Output
size of the total moment: 0.00 μB per atom
ΔH_f (0 K): -0.25 eV per atom
space-group type: No. 216

Structure (POSCAR):
```
SmDyRu4
1.0
-4.666 -2.606 0.441
-2.524 -1.744 -4.399
-0.246 -5.254 -1.045
Ru Sm Dy
4 1 1
direct
0.625 0.625 0.125
0.625 0.125 0.625
0.625 0.625 0.625
0.125 0.625 0.625
0.250 0.250 0.250
0.000 0.000 0.000
```


[16]
DFT (PBE) results for a relaxed structure of ZrSiS2.

Output
E_form (uncorrected): -0.2572 eV/atom
size of the total moment: 0.00 μB per atom
space-group type: No. 122

Structure (POSCAR):
```
ZrSiS2
1.0
5.696 0.000 0.000
0.000 5.696 0.000
2.848 2.848 5.663
S Si Zr
4 2 2
direct
0.610 0.125 0.250
0.140 0.625 0.250
0.375 0.390 0.750
0.875 0.860 0.750
0.500 0.500 0.000
0.250 0.750 0.500
0.000 0.000 0.000
0.750 0.250 0.500
```


[17]
DFT (PBE) results for a relaxed structure of HoNiBRh2.

Output
size of the total moment: 0.00 μB per atom
ΔH_f (0 K): -0.74 eV per atom
space-group type: No. 123

Structure (POSCAR):
```
HoNiBRh2
1.0
-1.786 -0.069 -3.569
-3.346 -1.887 1.712
-1.716 3.758 0.786
Ho Ni B Rh
1 1 1 2
direct
0.500 0.500 0.500
0.500 0.000 0.000
0.000 0.000 0.000
0.000 0.000 0.500
0.000 0.500 0.000
```


[18]
DFT (PBE) results for a relaxed structure of TiZnPt.

Output
size of the total moment: 0.07 μB per atom
ΔH_f (0 K): -0.65 eV per atom
space-group type: No. 40

Structure (POSCAR):
```
TiZnPt
1.0
-0.898 -2.437 -3.853
4.242 1.326 -1.827
3.511 -6.606 3.359
Zn Pt Ti
4 4 4
direct
0.250 0.697 0.471
0.750 0.303 0.471
0.250 0.197 0.971
0.750 0.803 0.971
0.250 0.196 0.636
0.750 0.804 0.636
0.250 0.696 0.136
0.750 0.304 0.136
0.250 0.203 0.300
0.750 0.797 0.300
0.250 0.703 0.800
0.750 0.297 0.800
```


[19]
DFT (PBE) results for a relaxed structure of PrSmAgSb.

Output
E_form (uncorrected): -0.5981 eV/atom
size of the total moment: 0.00 μB per atom
space-group type: No. 216

Structure (POSCAR):
```
PrSmAgSb
1.0
-3.625 3.064 2.512
-1.880 -1.463 4.813
1.400 2.768 4.384
Pr Sb Ag Sm
1 1 1 1
direct
0.000 0.000 0.000
0.750 0.750 0.750
0.250 0.250 0.250
0.500 0.500 0.500
```


[20]
DFT (PBE) results for a relaxed structure of AcPr.

Output
size of the total moment: 0.22 μB per atom
energy relative to the lowest polymorph listed for this composition: 58.9 kJ per mole of atoms
ΔH_f (0 K): 0.65 eV per atom
space-group type: No. 225

Structure (POSCAR):
```
AcPr
1.0
4.932 0.000 0.000
2.466 4.271 0.000
2.466 1.424 4.027
Pr Ac
1 1
direct
0.000 0.000 0.000
0.500 0.500 0.500
```


[21]
DFT (PBE) results for a relaxed structure of LiTb2HfS6.

Output
E_form (uncorrected): -1.5843 eV/atom
size of the total moment: 0.00 μB per atom
space-group type: No. 1

Structure (POSCAR):
```
LiTb2HfS6
1.0
6.730 -0.002 -0.007
3.363 5.831 -0.005
3.358 1.941 5.939
Li Tb Hf S
1 2 1 6
direct
0.312 0.313 0.061
0.515 0.515 0.454
0.022 0.022 0.935
0.824 0.824 0.527
0.606 0.203 0.257
0.203 0.933 0.258
0.933 0.606 0.257
0.455 0.707 0.755
0.707 0.082 0.756
0.083 0.455 0.755
```


[22]
DFT (PBE) results for a relaxed structure of CuPbBr2.

Output
E_form (uncorrected): -0.1338 eV/atom
size of the total moment: 0.00 μB per atom
energy relative to the lowest polymorph listed for this composition: 18.6 kJ per mole of atoms
space-group type: No. 99

Structure (POSCAR):
```
CuPbBr2
1.0
-1.376 1.827 -2.733
-0.668 -3.058 -1.708
-7.832 -0.358 3.705
Br Cu Pb
2 1 1
direct
0.000 0.000 0.945
0.500 0.500 0.356
0.000 0.000 0.481
0.500 0.500 0.719
```


[23]
DFT (PBE) results for a relaxed structure of K2RhCl.

Output
E_form (uncorrected): -0.2008 eV/atom
size of the total moment: 0.00 μB per atom
energy relative to the lowest polymorph listed for this composition: 12.2 kJ per mole of atoms
space-group type: No. 44

Structure (POSCAR):
```
K2RhCl
1.0
-4.760 -2.232 -4.183
-0.377 -6.377 -2.080
0.087 4.322 5.143
K Rh Cl
2 1 1
direct
0.024 0.024 0.000
0.739 0.239 0.500
0.432 0.432 0.000
0.306 0.806 0.500
```


[24]
DFT (PBE) results for a relaxed structure of BaMg2Sb.

Output
E_form (uncorrected): -0.2230 eV/atom
size of the total moment: 0.00 μB per atom
space-group type: No. 122

Structure (POSCAR):
```
BaMg2Sb
1.0
-4.959 0.581 7.683
5.079 -6.624 3.779
2.211 -0.681 6.943
Sb Mg Ba
2 4 2
direct
0.500 0.500 0.000
0.250 0.750 0.500
0.554 0.125 0.250
0.196 0.625 0.250
0.375 0.446 0.750
0.875 0.804 0.750
0.000 0.000 0.000
0.750 0.250 0.500
```


Result set for theoretical density: 4.91 8.59 6.61 17.06 6.87 10.28 5.49 7.51 7.83 7.36 7.58 7.79 7.89 14.61 10.92 3.32 10.36 11.19 7.90 7.20 4.95 6.49 3.16 3.58 g/cm³, one per record in the order listed.
Result set for E_tot: -33.06 -52.37 -38.12 -24.95 -71.45 -74.20 -24.27 -17.67 -74.42 -22.26 -36.34 -23.99 -129.07 -34.40 -47.92 -46.51 -35.46 -68.69 -18.86 -7.59 -61.74 -11.69 -12.20 -20.25 eV per cell, one per record in the order listed.